Compound: ZnCd3Ga3
Source: Alexandria
Functional: PBE-GGA
Structure: optimized geometry

Properties
Calculated total energy ... -24.88 eV for the cell shown
Volume ... 148 Å³/f.u.
Magnetization ... 0.00 μB/f.u.
E_form ... 0.094 eV/atom

a b c (Å): 9.0278 9.0278 4.2016
angles (deg): 90.00 90.00 120.00
With the nearest neighbours (Å) after each atom.
Space group P6_3/m (No. 176)
One atom of each set of equivalent atoms:
Zn (0.3333, 0.6667, 0.2500) x2  6 Cd 2.84
Cd (0.1027, 0.4799, 0.7500) x6  2 Zn 2.84, 3 Ga 2.94-3.05, 2 Cd 2.94
Ga (0.0142, 0.8010, 0.7500) x6  4 Ga 2.81, 3 Cd 2.94-3.05